No. 1
Li7Ag3Pb | PBE-GGA | relaxed

Raw total energy, eV for the cell shown: -26.866
SG: C2/m (12)
Energy relative to the elements, eV per atom: -0.110
Fermi-level density of states, states/eV/cell: 2.952

a = 6.9041 Å, b = 6.9041 Å, c = 5.0702 Å
α = 110.57°, β = 110.57°, γ = 90.65°
Atoms (fractional coordinates):
1 Li 0.0000 0.0000 0.0000
2 Li 0.1038 0.5533 0.3293
3 Li 0.3333 0.3333 0.8400
4 Li 0.4467 0.8962 0.6707
5 Li 0.5533 0.1038 0.3293
6 Li 0.6667 0.6667 0.1600
7 Li 0.8962 0.4467 0.6707
8 Ag 0.2688 0.7312 0.0000
9 Ag 0.5000 0.5000 0.5000
10 Ag 0.7312 0.2688 0.0000
11 Pb 0.0000 0.0000 0.5000

---

No. 2
Cr2CuAs | PBE-GGA | relaxed

Raw total energy, eV for the cell shown: -54.807
SG: Imm2 (44)
Energy relative to the elements, eV per atom: 0.147
Fermi-level density of states, states/eV/cell: 5.279

a = 3.7006 Å, b = 3.8111 Å, c = 7.7022 Å
α = 90.00°, β = 90.00°, γ = 90.00°
Atoms (fractional coordinates):
1 Cr 0.0000 0.0000 0.0000
2 Cr 0.0000 0.5000 0.2462
3 Cr 0.5000 0.0000 0.7462
4 Cr 0.5000 0.5000 0.5000
5 Cu 0.0000 0.5000 0.7520
6 Cu 0.5000 0.0000 0.2520
7 As 0.0000 0.0000 0.4942
8 As 0.5000 0.5000 0.9942

---

No. 3
Tm2ScTlN | PBE-GGA | relaxed

Formation energy from raw total energies, meV per atom: -984
Raw total energy, eV for the cell shown: -30.887
SG: P4/mmm (123)
Fermi-level density of states, states/eV/cell: 2.745

a = 4.7247 Å, b = 4.7247 Å, c = 4.5196 Å
α = 90.00°, β = 90.00°, γ = 90.00°
Atoms (fractional coordinates):
1 Tm 0.0000 0.5000 0.0000
2 Tm 0.5000 0.0000 0.0000
3 Sc 0.0000 0.0000 0.5000
4 Tl 0.5000 0.5000 0.5000
5 N 0.0000 0.0000 0.0000

---

No. 4
SrGeW2 | PBE-GGA | relaxed

Raw total energy, eV for the cell shown: -113.632
SG: I-42d (122)
Energy relative to the elements, eV per atom: 0.949
Fermi-level density of states, states/eV/cell: 9.314

a = 4.6533 Å, b = 4.6533 Å, c = 18.7631 Å
α = 90.00°, β = 90.00°, γ = 90.00°
Atoms (fractional coordinates):
1 Sr 0.0000 0.0000 0.0000
2 Sr 0.0000 0.5000 0.2500
3 Sr 0.5000 0.0000 0.7500
4 Sr 0.5000 0.5000 0.5000
5 Ge 0.0000 0.0000 0.5000
6 Ge 0.0000 0.5000 0.7500
7 Ge 0.5000 0.0000 0.2500
8 Ge 0.5000 0.5000 0.0000
9 W 0.0771 0.7500 0.6250
10 W 0.2500 0.0771 0.3750
11 W 0.2500 0.4229 0.8750
12 W 0.4229 0.7500 0.1250
13 W 0.5771 0.2500 0.1250
14 W 0.7500 0.5771 0.8750
15 W 0.7500 0.9229 0.3750
16 W 0.9229 0.2500 0.6250

---

No. 5
RbLiCrN2 | PBE-GGA | relaxed

Formation energy from raw total energies, meV per atom: -435
Raw total energy, eV for the cell shown: -62.660
SG: C2/m (12)
Fermi-level density of states, states/eV/cell: 3.998

a = 5.8401 Å, b = 5.8401 Å, c = 7.9427 Å
α = 100.65°, β = 100.65°, γ = 32.95°
Atoms (fractional coordinates):
1 Rb 0.1485 0.1485 0.1386
2 Rb 0.8515 0.8515 0.8614
3 Li 0.1913 0.1913 0.5503
4 Li 0.8087 0.8087 0.4497
5 Cr 0.4505 0.4505 0.3541
6 Cr 0.5495 0.5495 0.6459
7 N 0.0946 0.0946 0.7454
8 N 0.3855 0.3855 0.5582
9 N 0.6145 0.6145 0.4418
10 N 0.9054 0.9054 0.2546

---

No. 6
BeTeSe2Br | PBE-GGA | relaxed

Formation energy from raw total energies, meV per atom: 835
Raw total energy, eV for the cell shown: -11.335
Energy above the lowest structure with this stoichiometry, meV/atom: 691.7
SG: P4/mmm (123)
Fermi-level density of states, states/eV/cell: 3.585

a = 5.4089 Å, b = 5.4089 Å, c = 5.4879 Å
α = 90.00°, β = 90.00°, γ = 90.00°
Atoms (fractional coordinates):
1 Be 0.0000 0.0000 0.0000
2 Te 0.5000 0.5000 0.5000
3 Se 0.0000 0.5000 0.5000
4 Se 0.5000 0.0000 0.5000
5 Br 0.5000 0.5000 0.0000

---

No. 7
Cs3InHg | PBE-GGA | relaxed

Raw total energy, eV for the cell shown: -12.420
Energy above the lowest structure with this stoichiometry, meV/atom: 0.0
SG: Cmcm (63)
Energy relative to the elements, eV per atom: -0.122
Fermi-level density of states, states/eV/cell: 6.189

a = 11.3122 Å, b = 11.3122 Å, c = 5.3315 Å
α = 90.00°, β = 90.00°, γ = 104.95°
Atoms (fractional coordinates):
1 Cs 0.1237 0.8763 0.7500
2 Cs 0.1813 0.4480 0.7500
3 Cs 0.4480 0.1813 0.2500
4 Cs 0.5520 0.8187 0.7500
5 Cs 0.8187 0.5520 0.2500
6 Cs 0.8763 0.1237 0.2500
7 In 0.4603 0.5397 0.2500
8 In 0.5397 0.4603 0.7500
9 Hg 0.2884 0.7116 0.2500
10 Hg 0.7116 0.2884 0.7500